No. 1
NpPS, optimized geometry, DFT GGA-PBE; space group = F-43m; uncorrected formation energy = -0.686 eV per atom; calculated density = 7.82 Mg/m³; spin magnetization = 2.03 μB per formula unit
1.0
6.339 0.000 0.000
0.000 6.339 0.000
0.000 0.000 6.339
Np P S
4 4 4
Direct
0.000 0.000 0.000 Np
0.000 0.500 0.500 Np
0.500 0.000 0.500 Np
0.500 0.500 0.000 Np
0.250 0.250 0.250 P
0.250 0.750 0.750 P
0.750 0.250 0.750 P
0.750 0.750 0.250 P
0.250 0.250 0.750 S
0.250 0.750 0.250 S
0.750 0.250 0.250 S
0.750 0.750 0.750 S


No. 2
Np8PS6, optimized geometry, DFT GGA-PBE; space group = P-3; uncorrected formation energy = -0.809 eV per atom; calculated density = 11.62 Mg/m³; spin magnetization = 11.17 μB per formula unit
1.0
7.911 0.000 0.000
-3.956 6.851 0.000
0.000 0.000 5.587
Np P S
8 1 6
Direct
0.092 0.713 0.288 Np
0.287 0.379 0.288 Np
0.333 0.667 0.499 Np
0.379 0.092 0.712 Np
0.621 0.908 0.288 Np
0.667 0.333 0.501 Np
0.713 0.621 0.712 Np
0.908 0.287 0.712 Np
0.000 0.000 0.500 P
0.088 0.699 0.799 S
0.301 0.389 0.799 S
0.389 0.088 0.201 S
0.611 0.912 0.799 S
0.699 0.611 0.201 S
0.912 0.301 0.201 S